DFT (PBEsol) results for a relaxed structure of NaTe2S.

## Properties
- total energy (Ha/atom) = -0.1150
- volume (Å³ per cell) = 320.0
- formation energy without anion corrections (eV/atom) = 0.0800
- N(E_F) (states/eV/f.u.) = 2.0
- size of the total moment (μB per formula unit) = 0.000

CIF file:
```
data_NaTe2S
_symmetry_space_group_name_H-M 'R -3 m'
_symmetry_Int_Tables_number 166
_symmetry_space_group_name_Hall '-R 3 2"'
_cell_length_a 3.5340
_cell_length_b 3.5340
_cell_length_c 29.5852
_cell_angle_alpha 90.00
_cell_angle_beta 90.00
_cell_angle_gamma 120.00
loop_
_atom_site_label
_atom_site_type_symbol
_atom_site_fract_x
_atom_site_fract_y
_atom_site_fract_z
Na1 Na 0.0000 0.0000 0.0000
Te1 Te 0.0000 0.0000 0.4155
S1 S 0.0000 0.0000 0.5000
```

DFT (PBEsol) results for a relaxed structure of Na3Ti10S20.

## Properties
- total energy (Ha/atom) = -0.2461
- volume (Å³ per cell) = 1240.7
- formation energy without anion corrections (eV/atom) = -1.3915
- N(E_F) (states/eV/f.u.) = 11.5
- size of the total moment (μB per formula unit) = 0.001

CIF file:
```
data_Na3Ti10S20
_symmetry_space_group_name_H-M 'C 1 m 1'
_symmetry_Int_Tables_number 8
_cell_length_a 5.835
_cell_length_b 16.812
_cell_length_c 12.795
_cell_angle_alpha 90.00
_cell_angle_beta 98.73
_cell_angle_gamma 90.00
loop_
_symmetry_equiv_pos_as_xyz
'x,y,z'
'x,-y,z'
'x+1/2,y+1/2,z'
'x+1/2,-y+1/2,z'
loop_
_atom_site_label
_atom_site_type_symbol
_atom_site_fract_x
_atom_site_fract_y
_atom_site_fract_z
Na1 Na 0.000 0.000 0.000
Na2 Na 0.364 0.190 0.003
Ti1 Ti 0.107 0.000 0.282
Ti2 Ti 0.110 0.401 0.281
Ti3 Ti 0.111 0.200 0.282
Ti4 Ti 0.255 0.401 0.722
Ti5 Ti 0.257 0.200 0.721
Ti6 Ti 0.258 0.000 0.721
S1 S 0.124 0.500 0.837
S2 S 0.127 0.100 0.838
S3 S 0.131 0.300 0.839
S4 S 0.235 0.500 0.166
S5 S 0.237 0.099 0.166
S6 S 0.241 0.300 0.165
S7 S 0.386 0.100 0.611
S8 S 0.386 0.500 0.611
S9 S 0.387 0.300 0.611
S10 S 0.480 0.000 0.392
S11 S 0.480 0.200 0.392
S12 S 0.480 0.400 0.392
```

DFT (PBEsol) results for a relaxed structure of NaTiVS4.

## Properties
- total energy (Ha/atom) = -0.2383
- volume (Å³ per cell) = 269.0
- formation energy without anion corrections (eV/atom) = -1.2134
- N(E_F) (states/eV/f.u.) = 3.5
- size of the total moment (μB per formula unit) = 1.318

CIF file:
```
data_NaTiVS4
_symmetry_space_group_name_H-M 'C 1 m 1'
_symmetry_Int_Tables_number 8
_cell_length_a 14.213
_cell_length_b 3.340
_cell_length_c 5.721
_cell_angle_alpha 90.00
_cell_angle_beta 97.81
_cell_angle_gamma 90.00
loop_
_symmetry_equiv_pos_as_xyz
'x,y,z'
'x,-y,z'
'x+1/2,y+1/2,z'
'x+1/2,-y+1/2,z'
loop_
_atom_site_label
_atom_site_type_symbol
_atom_site_fract_x
_atom_site_fract_y
_atom_site_fract_z
Na1 Na 0.000 0.000 0.000
Ti1 Ti 0.250 0.000 0.407
V1 V 0.250 0.500 0.893
S1 S 0.148 0.000 0.705
S2 S 0.149 0.500 0.198
S3 S 0.349 0.000 0.096
S4 S 0.353 0.500 0.603
```

DFT (PBEsol) results for a relaxed structure of Na2TlS.

## Properties
- total energy (Ha/atom) = -0.1018
- volume (Å³ per cell) = 418.2
- formation energy without anion corrections (eV/atom) = -0.3178
- N(E_F) (states/eV/f.u.) = 1.2
- size of the total moment (μB per formula unit) = 0.000

CIF file:
```
data_Na2TlS
_symmetry_space_group_name_H-M 'I -4 2 d'
_symmetry_Int_Tables_number 122
_symmetry_space_group_name_Hall 'I -4 2bw'
_cell_length_a 4.727
_cell_length_b 4.727
_cell_length_c 18.719
_cell_angle_alpha 90.00
_cell_angle_beta 90.00
_cell_angle_gamma 90.00
loop_
_atom_site_label
_atom_site_type_symbol
_atom_site_fract_x
_atom_site_fract_y
_atom_site_fract_z
Na1 Na 0.190 0.250 0.125
Tl1 Tl 0.000 0.000 0.500
S1 S 0.000 0.000 0.000
```

DFT (PBEsol) results for a relaxed structure of NaV6S8.

## Properties
- total energy (Ha/atom) = -0.2723
- volume (Å³ per cell) = 223.2
- formation energy without anion corrections (eV/atom) = -1.1230
- N(E_F) (states/eV/f.u.) = 6.1
- size of the total moment (μB per formula unit) = 0.000

CIF file:
```
data_NaV6S8
_symmetry_space_group_name_H-M 'P -3'
_symmetry_Int_Tables_number 147
_cell_length_a 8.9683
_cell_length_b 8.9683
_cell_length_c 3.2042
_cell_angle_alpha 90.00
_cell_angle_beta 90.00
_cell_angle_gamma 120.00
loop_
_symmetry_equiv_pos_as_xyz
'x,y,z'
'-x,-y,-z'
'-y,x-y,z'
'y,-x+y,-z'
'-x+y,-x,z'
'x-y,x,-z'
loop_
_atom_site_label
_atom_site_type_symbol
_atom_site_fract_x
_atom_site_fract_y
_atom_site_fract_z
Na1 Na 0.0000 0.0000 0.0000
V1 V 0.1151 0.6251 0.7510
S1 S 0.0527 0.3422 0.7479
S2 S 0.3333 0.6667 0.2507
```

DFT (PBEsol) results for a relaxed structure of NaW3S.

## Properties
- total energy (Ha/atom) = -0.3039
- volume (Å³ per cell) = 87.8
- formation energy without anion corrections (eV/atom) = 1.1724
- N(E_F) (states/eV/f.u.) = 6.1
- size of the total moment (μB per formula unit) = 0.001

CIF file:
```
data_NaW3S
_symmetry_space_group_name_H-M 'P m -3 m'
_symmetry_Int_Tables_number 221
_symmetry_space_group_name_Hall '-P 4 2 3'
_cell_length_a 4.445
_cell_length_b 4.445
_cell_length_c 4.445
_cell_angle_alpha 90.00
_cell_angle_beta 90.00
_cell_angle_gamma 90.00
loop_
_atom_site_label
_atom_site_type_symbol
_atom_site_fract_x
_atom_site_fract_y
_atom_site_fract_z
Na1 Na 0.000 0.000 0.000
W1 W 0.000 0.500 0.500
S1 S 0.500 0.500 0.500
```

DFT (PBEsol) results for a relaxed structure of NaY3S.

## Properties
- total energy (Ha/atom) = -0.2136
- volume (Å³ per cell) = 145.2
- formation energy without anion corrections (eV/atom) = -0.5622
- N(E_F) (states/eV/f.u.) = 7.5
- size of the total moment (μB per formula unit) = 0.000

CIF file:
```
data_NaY3S
_symmetry_space_group_name_H-M 'P m -3 m'
_symmetry_Int_Tables_number 221
_symmetry_space_group_name_Hall '-P 4 2 3'
_cell_length_a 5.256
_cell_length_b 5.256
_cell_length_c 5.256
_cell_angle_alpha 90.00
_cell_angle_beta 90.00
_cell_angle_gamma 90.00
loop_
_atom_site_label
_atom_site_type_symbol
_atom_site_fract_x
_atom_site_fract_y
_atom_site_fract_z
Na1 Na 0.000 0.000 0.000
Y1 Y 0.000 0.500 0.500
S1 S 0.500 0.500 0.500
```

DFT (PBEsol) results for a relaxed structure of NaYS2.

## Properties
- total energy (Ha/atom) = -0.2254
- volume (Å³ per cell) = 264.8
- formation energy without anion corrections (eV/atom) = -1.8854
- N(E_F) (states/eV/f.u.) = 0.0
- size of the total moment (μB per formula unit) = 0.000

CIF file:
```
data_NaYS2
_symmetry_space_group_name_H-M 'R -3 m'
_symmetry_Int_Tables_number 166
_symmetry_space_group_name_Hall '-R 3 2"'
_cell_length_a 3.9336
_cell_length_b 3.9336
_cell_length_c 19.7643
_cell_angle_alpha 90.00
_cell_angle_beta 90.00
_cell_angle_gamma 120.00
loop_
_atom_site_label
_atom_site_type_symbol
_atom_site_fract_x
_atom_site_fract_y
_atom_site_fract_z
Na1 Na 0.0000 0.0000 0.0000
Y1 Y 0.0000 0.0000 0.5000
S1 S 0.0000 0.0000 0.2426
```

DFT (PBEsol) results for a relaxed structure of NaYZrS4.

## Properties
- total energy (Ha/atom) = -0.2457
- volume (Å³ per cell) = 163.8
- formation energy without anion corrections (eV/atom) = -1.7065
- size of the total moment (μB per formula unit) = 0.000

CIF file:
```
data_NaYZrS4
_symmetry_space_group_name_H-M 'P 1 2/m 1'
_symmetry_Int_Tables_number 10
_cell_length_a 6.510
_cell_length_b 3.800
_cell_length_c 6.950
_cell_angle_alpha 90.00
_cell_angle_beta 107.71
_cell_angle_gamma 90.00
loop_
_symmetry_equiv_pos_as_xyz
'x,y,z'
'-x,-y,-z'
'-x,y,-z'
'x,-y,z'
loop_
_atom_site_label
_atom_site_type_symbol
_atom_site_fract_x
_atom_site_fract_y
_atom_site_fract_z
Na1 Na 0.000 0.000 0.000
Y1 Y 0.000 0.500 0.500
Zr1 Zr 0.500 0.000 0.500
S1 S 0.256 0.000 0.721
S2 S 0.278 0.500 0.279
```

DFT (PBEsol) results for a relaxed structure of Na6ZnS4.

## Properties
- total energy (Ha/atom) = -0.1305
- volume (Å³ per cell) = 464.9
- formation energy without anion corrections (eV/atom) = -1.0489
- N(E_F) (states/eV/f.u.) = 0.0
- size of the total moment (μB per formula unit) = 0.000

CIF file:
```
data_Na6ZnS4
_symmetry_space_group_name_H-M 'P 63 m c'
_symmetry_Int_Tables_number 186
_symmetry_space_group_name_Hall 'P 6c -2c'
_cell_length_a 8.8776
_cell_length_b 8.8776
_cell_length_c 6.8121
_cell_angle_alpha 90.00
_cell_angle_beta 90.00
_cell_angle_gamma 120.00
loop_
_atom_site_label
_atom_site_type_symbol
_atom_site_fract_x
_atom_site_fract_y
_atom_site_fract_z
Na1 Na 0.0591 0.5296 0.0000
Na2 Na 0.1475 0.2949 0.6753
Zn1 Zn 0.3333 0.6667 0.3820
S1 S 0.1882 0.3764 0.2757
S2 S 0.3333 0.6667 0.7277
```

DFT (PBEsol) results for a relaxed structure of Na2Zn2S3.

## Properties
- total energy (Ha/atom) = -0.1333
- volume (Å³ per cell) = 293.9
- formation energy without anion corrections (eV/atom) = -0.8965
- N(E_F) (states/eV/f.u.) = 0.0
- size of the total moment (μB per formula unit) = 0.000
- relative energy among the computed polymorphs (meV per atom) = 43

CIF file:
```
data_Na2Zn2S3
_symmetry_space_group_name_H-M 'P 1 21/c 1'
_symmetry_Int_Tables_number 14
_cell_length_a 6.879
_cell_length_b 7.051
_cell_length_c 6.908
_cell_angle_alpha 90.00
_cell_angle_beta 118.69
_cell_angle_gamma 90.00
loop_
_symmetry_equiv_pos_as_xyz
'x,y,z'
'-x,-y,-z'
'-x,y+1/2,-z+1/2'
'x,-y+1/2,z+1/2'
loop_
_atom_site_label
_atom_site_type_symbol
_atom_site_fract_x
_atom_site_fract_y
_atom_site_fract_z
Na1 Na 0.147 0.167 0.404
Zn1 Zn 0.343 0.616 0.571
S1 S 0.000 0.000 0.000
S2 S 0.364 0.597 0.240
```

DFT (PBEsol) results for a relaxed structure of Na2Zn2S3.

## Properties
- total energy (Ha/atom) = -0.1335
- volume (Å³ per cell) = 558.1
- formation energy without anion corrections (eV/atom) = -0.9008
- N(E_F) (states/eV/f.u.) = 0.0
- size of the total moment (μB per formula unit) = 0.000
- relative energy among the computed polymorphs (meV per atom) = 39

CIF file:
```
data_Na2Zn2S3
_symmetry_space_group_name_H-M 'P 43 21 2'
_symmetry_Int_Tables_number 96
_cell_length_a 6.963
_cell_length_b 6.963
_cell_length_c 11.512
_cell_angle_alpha 90.00
_cell_angle_beta 90.00
_cell_angle_gamma 90.00
loop_
_symmetry_equiv_pos_as_xyz
'x,y,z'
'-y+1/2,x+1/2,z+3/4'
'-x,-y,z+1/2'
'y+1/2,-x+1/2,z+1/4'
'x+1/2,-y+1/2,-z+1/4'
'-y,-x,-z+1/2'
'-x+1/2,y+1/2,-z+3/4'
'y,x,-z'
loop_
_atom_site_label
_atom_site_type_symbol
_atom_site_fract_x
_atom_site_fract_y
_atom_site_fract_z
Na1 Na 0.060 0.322 0.312
Zn1 Zn 0.032 0.198 0.885
S1 S 0.073 0.770 0.577
S2 S 0.203 0.797 0.250
```